DFT (PBE with a Hubbard U) results for crystalline K3MoCl2F6 at its relaxed geometry.

DFT total energy in eV/atom: -4.466
Crystal system: monoclinic
Space-group type: C2/m, No. 12

```
data_K3MoCl2F6
_chemical_formula_sum 'K3 Mo1 Cl2 F6'
_cell_length_a 4.654
_cell_length_b 7.695
_cell_length_c 8.697
_cell_angle_alpha 116.26
_cell_angle_beta 85.40
_cell_angle_gamma 90.00
_symmetry_space_group_name_H-M 'P 1'
_symmetry_Int_Tables_number 1
loop_
_symmetry_equiv_pos_as_xyz
'x,y,z'
loop_
_atom_site_label
_atom_site_type_symbol
_atom_site_fract_x
_atom_site_fract_y
_atom_site_fract_z
F1 F 0.284 0.766 0.901
Cl1 Cl 0.036 0.692 0.384
F2 F 0.284 0.135 0.901
F3 F 0.716 0.865 0.099
Cl2 Cl 0.964 0.308 0.616
F4 F 0.266 0.107 0.214
Mo1 Mo 0.500 0.000 0.000
F5 F 0.734 0.893 0.786
K1 K 0.000 0.500 0.000
K2 K 0.500 0.000 0.500
K3 K 0.500 0.500 0.500
F6 F 0.716 0.234 0.099
```

***

DFT (PBE with a Hubbard U) results for crystalline K2MoCl4F2 at its relaxed geometry.

DFT total energy in eV/atom: -4.132
Crystal system: monoclinic
D(E_F) in states/eV per cell: 0.00
Space-group type: C2/m, No. 12

```
data_K2MoCl4F2
_chemical_formula_sum 'K2 Mo1 Cl4 F2'
_cell_length_a 5.717
_cell_length_b 6.646
_cell_length_c 6.646
_cell_angle_alpha 65.10
_cell_angle_beta 78.75
_cell_angle_gamma 78.75
_symmetry_space_group_name_H-M 'P 1'
_symmetry_Int_Tables_number 1
loop_
_symmetry_equiv_pos_as_xyz
'x,y,z'
loop_
_atom_site_label
_atom_site_type_symbol
_atom_site_fract_x
_atom_site_fract_y
_atom_site_fract_z
Cl1 Cl 0.694 0.339 0.851
Mo1 Mo 0.500 0.000 0.000
F1 F 0.226 0.145 0.145
Cl2 Cl 0.694 0.851 0.339
F2 F 0.774 0.855 0.855
Cl3 Cl 0.306 0.661 0.149
K1 K 0.809 0.327 0.327
Cl4 Cl 0.306 0.149 0.661
K2 K 0.191 0.673 0.673
```

***

DFT (PBE with a Hubbard U) results for crystalline K3MoCl6F2 at its relaxed geometry.

DFT total energy in eV/atom: -3.667
Crystal system: monoclinic
Space-group type: C2/m, No. 12

```
data_K3MoCl6F2
_chemical_formula_sum 'K3 Mo1 Cl6 F2'
_cell_length_a 6.536
_cell_length_b 8.225
_cell_length_c 9.274
_cell_angle_alpha 116.33
_cell_angle_beta 114.98
_cell_angle_gamma 90.00
_symmetry_space_group_name_H-M 'P 1'
_symmetry_Int_Tables_number 1
loop_
_symmetry_equiv_pos_as_xyz
'x,y,z'
loop_
_atom_site_label
_atom_site_type_symbol
_atom_site_fract_x
_atom_site_fract_y
_atom_site_fract_z
Cl1 Cl 0.748 0.301 0.198
Cl2 Cl 0.252 0.699 0.802
F1 F 0.316 0.660 0.321
Cl3 Cl 0.748 0.897 0.198
Cl4 Cl 0.252 0.103 0.802
K1 K 0.000 0.500 0.000
K2 K 0.500 0.500 0.500
F2 F 0.684 0.340 0.679
Cl5 Cl 0.719 0.919 0.838
Cl6 Cl 0.281 0.081 0.162
K3 K 0.500 0.000 0.500
Mo1 Mo 0.500 0.000 0.000
```

***

Please write out number 1 again, unchanged.
DFT (PBE with a Hubbard U) results for crystalline K3MoCl2F6 at its relaxed geometry.

DFT total energy in eV/atom: -4.466
Crystal system: monoclinic
Space-group type: C2/m, No. 12

```
data_K3MoCl2F6
_chemical_formula_sum 'K3 Mo1 Cl2 F6'
_cell_length_a 4.654
_cell_length_b 7.695
_cell_length_c 8.697
_cell_angle_alpha 116.26
_cell_angle_beta 85.40
_cell_angle_gamma 90.00
_symmetry_space_group_name_H-M 'P 1'
_symmetry_Int_Tables_number 1
loop_
_symmetry_equiv_pos_as_xyz
'x,y,z'
loop_
_atom_site_label
_atom_site_type_symbol
_atom_site_fract_x
_atom_site_fract_y
_atom_site_fract_z
F1 F 0.284 0.766 0.901
Cl1 Cl 0.036 0.692 0.384
F2 F 0.284 0.135 0.901
F3 F 0.716 0.865 0.099
Cl2 Cl 0.964 0.308 0.616
F4 F 0.266 0.107 0.214
Mo1 Mo 0.500 0.000 0.000
F5 F 0.734 0.893 0.786
K1 K 0.000 0.500 0.000
K2 K 0.500 0.000 0.500
K3 K 0.500 0.500 0.500
F6 F 0.716 0.234 0.099
```

***

Among the records above, which one has the lowest DFT total energy?
K3MoCl2F6

***

Look up the DFT total energy of the third one.
-3.667 eV/atom